## LiMg2W (meta-GGA SCAN)

Data for a PBEsol-optimized structure of LiMg2W.

Summary:
- density of states at the Fermi level (states/eV/atom) = 0.412
- ΔE_f (eV per atom) = 0.52
- ΔE to the lowest computed polymorph (meV/atom) = 174
- size of the total moment (μB/f.u.) = 0.00

Unit cell a=5.7873 b=5.7873 c=5.7873 alpha=152.67 beta=128.71 gamma=59.09
Positions (direct):
Li 0.0000 0.0000 0.0000
Mg 0.4954 0.4954 0.0000
Mg 0.7573 0.2573 0.5000
W 0.2448 0.7448 0.5000